Record 1
Below is crystalline LiInSbO4 at its relaxed geometry, with properties calculated at the PBE level.

The structure in POSCAR format:
```
LiInSbO4
1.0
5.595 -0.022 0.000
-2.268 5.115 0.000
0.000 0.000 6.668
Li O In Sb
2 8 2 2
Direct
0.161 0.839 0.250 Li
0.839 0.161 0.750 Li
0.747 0.757 0.250 O
0.253 0.243 0.750 O
0.269 0.731 0.998 O
0.243 0.253 0.250 O
0.269 0.731 0.502 O
0.731 0.269 0.002 O
0.757 0.747 0.750 O
0.731 0.269 0.498 O
0.500 0.500 0.500 In
0.500 0.500 0.000 In
0.155 0.845 0.750 Sb
0.845 0.155 0.250 Sb
```

***

Record 2
Below is crystalline Li2ScInO at its relaxed geometry, with properties calculated at the PBE level.

The structure in POSCAR format:
```
Li2ScInO
1.0
-3.709 1.668 -1.768
-0.807 -3.888 -1.975
-2.117 -1.227 3.282
Li Sc In O
2 1 1 1
Direct
0.000 0.500 0.000 Li
0.500 0.000 0.000 Li
0.000 0.000 0.500 Sc
0.500 0.500 0.500 In
0.000 0.000 0.000 O
```

***

Record 3
Below is crystalline Li4ScIn3Si8O24 at its relaxed geometry, with properties calculated at the PBE level.

The structure in POSCAR format:
```
Li4ScIn3Si8O24
1.0
9.194 0.000 0.000
0.000 5.446 -0.006
0.000 1.930 9.317
O Li Si In Sc
24 4 8 3 1
Direct
0.757 0.758 0.627 O
0.580 0.293 0.621 O
0.517 0.945 0.851 O
0.484 0.445 0.853 O
0.916 0.292 0.122 O
0.484 0.555 0.147 O
0.258 0.745 0.872 O
0.244 0.729 0.376 O
0.015 0.448 0.352 O
0.988 0.051 0.647 O
0.916 0.708 0.878 O
0.743 0.244 0.871 O
0.415 0.216 0.378 O
0.517 0.055 0.149 O
0.757 0.242 0.373 O
0.086 0.792 0.123 O
0.086 0.208 0.877 O
0.015 0.552 0.648 O
0.244 0.271 0.624 O
0.988 0.949 0.353 O
0.580 0.707 0.379 O
0.415 0.784 0.622 O
0.743 0.756 0.129 O
0.258 0.255 0.128 O
0.245 0.000 0.000 Li
0.740 0.500 0.500 Li
0.257 0.000 0.500 Li
0.755 0.500 0.000 Li
0.415 0.728 0.800 Si
0.585 0.770 0.201 Si
0.915 0.230 0.301 Si
0.915 0.770 0.699 Si
0.585 0.230 0.799 Si
0.415 0.272 0.200 Si
0.086 0.730 0.301 Si
0.086 0.270 0.699 Si
0.110 0.500 0.000 In
0.891 0.000 0.000 In
0.607 0.000 0.500 In
0.388 0.500 0.500 Sc
```

***

Record 4
Below is crystalline Li4Sc3InSi8O24 at its relaxed geometry, with properties calculated at the PBE level.

The structure in POSCAR format:
```
Li4Sc3InSi8O24
1.0
-4.218 -3.383 0.465
2.370 0.730 6.279
-6.517 11.369 1.366
Li Si Sc O In
4 8 3 24 1
Direct
0.372 0.245 0.623 Li
0.874 0.247 0.123 Li
0.625 0.748 0.375 Li
0.128 0.757 0.878 Li
0.672 0.386 0.895 Si
0.914 0.788 0.192 Si
0.328 0.616 0.106 Si
0.828 0.615 0.607 Si
0.086 0.214 0.809 Si
0.586 0.212 0.307 Si
0.174 0.384 0.393 Si
0.413 0.788 0.693 Si
0.194 0.888 0.444 Sc
0.304 0.109 0.054 Sc
0.696 0.892 0.946 Sc
0.630 0.662 0.682 O
0.053 0.126 0.693 O
0.219 0.381 0.063 O
0.460 0.874 0.811 O
0.146 0.204 0.480 O
0.435 0.961 0.603 O
0.552 0.033 0.395 O
0.615 0.644 0.174 O
0.701 0.384 0.564 O
0.119 0.651 0.178 O
0.382 0.365 0.830 O
0.965 0.874 0.309 O
0.382 0.349 0.321 O
0.787 0.621 0.938 O
0.873 0.345 0.820 O
0.861 0.791 0.517 O
0.640 0.206 0.982 O
0.282 0.618 0.436 O
0.117 0.637 0.673 O
0.362 0.796 0.018 O
0.945 0.964 0.102 O
0.055 0.039 0.899 O
0.536 0.126 0.189 O
0.885 0.355 0.326 O
0.803 0.105 0.553 In
```

***

Record 5
Below is crystalline LiSm2InO5 at its relaxed geometry, with properties calculated at the PBE level.

The structure in POSCAR format:
```
LiSm2InO5
1.0
3.356 0.000 0.000
-1.678 6.746 0.000
0.000 0.000 9.858
O In Sm Li
10 2 4 2
Direct
0.303 0.605 0.352 O
0.501 0.001 0.783 O
0.288 0.577 0.659 O
0.361 0.722 0.002 O
0.045 0.091 0.060 O
0.697 0.395 0.852 O
0.712 0.423 0.159 O
0.639 0.278 0.502 O
0.955 0.909 0.560 O
0.499 0.999 0.283 O
0.802 0.604 0.502 In
0.198 0.396 0.002 In
0.876 0.752 0.798 Sm
0.124 0.248 0.298 Sm
0.109 0.219 0.687 Sm
0.891 0.781 0.187 Sm
0.517 0.033 0.981 Li
0.483 0.967 0.481 Li
```

***

Record 6
Below is crystalline LiInSnO4 at its relaxed geometry, with properties calculated at the PBE level.

The structure in POSCAR format:
```
LiInSnO4
1.0
-0.185 3.070 -5.652
-5.594 2.012 -2.387
-1.394 6.248 -0.223
Li O In Sn
2 8 2 2
Direct
0.638 0.612 0.112 Li
0.362 0.388 0.888 Li
0.231 0.784 0.754 O
0.782 0.246 0.746 O
0.231 0.254 0.284 O
0.218 0.754 0.254 O
0.769 0.746 0.716 O
0.773 0.754 0.254 O
0.769 0.216 0.246 O
0.227 0.246 0.746 O
0.500 0.000 0.500 In
0.000 0.000 0.500 In
0.000 0.500 0.500 Sn
0.000 0.000 0.000 Sn
```

***

Record 7
Below is crystalline Li2InSnO4 at its relaxed geometry, with properties calculated at the PBE level.

The structure in POSCAR format:
```
Li2InSnO4
1.0
4.423 0.002 0.000
-0.002 4.423 0.000
-2.210 -2.213 4.892
Sn O Li In
1 4 2 1
Direct
0.750 0.250 0.500 Sn
0.271 0.271 0.542 O
0.515 0.015 0.030 O
0.729 0.729 0.458 O
0.985 0.485 0.970 O
0.000 0.000 0.000 Li
0.250 0.750 0.500 Li
0.500 0.500 0.000 In
```

***

Record 8
Below is crystalline SrLiIn2O4 at its relaxed geometry, with properties calculated at the PBE level.

The structure in POSCAR format:
```
SrLiIn2O4
1.0
-1.041 -2.232 2.423
4.547 -2.424 -2.742
7.021 4.779 7.418
In O Sr Li
4 8 2 2
Direct
0.370 0.741 0.947 In
0.370 0.741 0.553 In
0.630 0.259 0.053 In
0.630 0.259 0.447 In
0.000 0.000 0.500 O
0.567 0.134 0.250 O
0.000 0.000 0.000 O
0.736 0.472 0.615 O
0.264 0.528 0.385 O
0.264 0.528 0.115 O
0.433 0.866 0.750 O
0.736 0.472 0.885 O
0.107 0.215 0.750 Sr
0.893 0.785 0.250 Sr
0.841 0.683 0.750 Li
0.159 0.317 0.250 Li
```

***

Record 9
Below is crystalline Sr2LiInO at its relaxed geometry, with properties calculated at the PBE level.

The structure in POSCAR format:
```
Sr2LiInO
1.0
-0.444 -0.518 5.309
-0.822 -5.257 -0.582
4.182 -0.685 0.283
Sr Li O In
2 1 1 1
Direct
0.500 0.000 0.000 Sr
0.000 0.500 0.000 Sr
0.000 0.000 0.500 Li
0.000 0.000 0.000 O
0.500 0.500 0.500 In
```

***

Record 10
Below is crystalline LiTaIn2O6 at its relaxed geometry, with properties calculated at the PBE level.

The structure in POSCAR format:
```
LiTaIn2O6
1.0
5.426 0.000 0.000
2.713 4.699 0.000
2.713 1.567 4.948
O In Li Ta
6 2 1 1
Direct
0.586 0.238 0.227 O
0.696 0.126 0.761 O
0.126 0.417 0.761 O
0.238 0.948 0.227 O
0.948 0.586 0.227 O
0.417 0.696 0.761 O
0.025 0.025 0.925 In
0.523 0.523 0.432 In
0.785 0.785 0.646 Li
0.317 0.317 0.049 Ta
```

***

Record 11
Below is crystalline LiTb2InO at its relaxed geometry, with properties calculated at the PBE level.

The structure in POSCAR format:
```
LiTb2InO
1.0
4.314 0.000 0.000
0.000 4.810 0.000
0.000 0.000 4.810
O Tb Li In
1 2 1 1
Direct
0.000 0.000 0.000 O
0.000 0.000 0.500 Tb
0.000 0.500 0.000 Tb
0.500 0.000 0.000 Li
0.500 0.500 0.500 In
```

***

Record 12
Below is crystalline LiIn2TcO6 at its relaxed geometry, with properties calculated at the PBE level.

The structure in POSCAR format:
```
LiIn2TcO6
1.0
-2.008 0.068 4.596
-4.720 -0.775 -2.050
0.683 -5.146 0.374
Li O In Tc
1 6 2 1
Direct
0.558 0.500 0.500 Li
0.734 0.236 0.764 O
0.734 0.764 0.236 O
0.734 0.236 0.236 O
0.734 0.764 0.764 O
0.170 0.500 0.500 O
0.229 0.000 0.000 O
0.986 0.000 0.500 In
0.986 0.500 0.000 In
0.581 0.000 0.000 Tc
```

***

Record 13
Below is crystalline LiInTc2O8 at its relaxed geometry, with properties calculated at the PBE level.

The structure in POSCAR format:
```
LiInTc2O8
1.0
5.077 0.000 0.000
0.000 5.077 0.000
-2.539 -2.539 5.720
Tc O In Li
2 8 1 1
Direct
0.500 0.500 0.000 Tc
0.250 0.750 0.500 Tc
0.583 0.668 0.665 O
0.753 0.830 0.161 O
0.082 0.996 0.665 O
0.408 0.331 0.161 O
0.170 0.592 0.839 O
0.669 0.247 0.839 O
0.004 0.417 0.335 O
0.332 0.918 0.335 O
0.000 0.000 0.000 In
0.750 0.250 0.500 Li
```

***

Record 14
Below is crystalline LiInTe2O8 at its relaxed geometry, with properties calculated at the PBE level.

The structure in POSCAR format:
```
LiInTe2O8
1.0
-2.499 -0.849 5.439
-1.021 -4.445 -3.968
5.982 0.277 0.834
Te In O Li
2 1 8 1
Direct
0.750 0.250 0.500 Te
0.500 0.500 0.000 Te
0.250 0.750 0.500 In
0.749 0.059 0.690 O
0.941 0.251 0.310 O
0.317 0.122 0.806 O
0.317 0.511 0.194 O
0.878 0.683 0.194 O
0.489 0.683 0.806 O
0.369 0.059 0.310 O
0.941 0.631 0.690 O
0.000 0.000 0.000 Li
```

***

Record 15
Below is crystalline Li2InTeO4 at its relaxed geometry, with properties calculated at the PBE level.

The structure in POSCAR format:
```
Li2InTeO4
1.0
6.508 -0.888 -0.280
-0.893 6.508 -0.280
-2.981 -2.983 5.496
O In Te Li
8 2 2 4
Direct
0.716 0.304 0.569 O
0.196 0.784 0.931 O
0.884 0.778 0.130 O
0.804 0.216 0.069 O
0.116 0.222 0.870 O
0.722 0.616 0.370 O
0.284 0.696 0.431 O
0.278 0.384 0.630 O
0.000 0.500 0.500 In
0.000 0.500 0.000 In
0.500 0.500 0.500 Te
0.000 0.000 0.000 Te
0.500 0.000 0.000 Li
0.500 0.000 0.500 Li
0.000 0.000 0.500 Li
0.500 0.500 0.000 Li
```

***

Record 16
Below is crystalline LiInTe2O6 at its relaxed geometry, with properties calculated at the PBE level.

The structure in POSCAR format:
```
LiInTe2O6
1.0
5.612 -0.281 -0.291
1.506 7.095 -0.765
1.506 -1.027 7.062
Te O In Li
4 12 2 2
Direct
0.165 0.464 0.223 Te
0.665 0.223 0.464 Te
0.835 0.536 0.777 Te
0.335 0.777 0.536 Te
0.133 0.949 0.799 O
0.888 0.349 0.928 O
0.388 0.928 0.349 O
0.367 0.201 0.051 O
0.967 0.288 0.521 O
0.633 0.799 0.949 O
0.033 0.712 0.479 O
0.867 0.051 0.201 O
0.612 0.072 0.651 O
0.533 0.479 0.712 O
0.467 0.521 0.288 O
0.112 0.651 0.072 O
0.250 0.917 0.083 In
0.750 0.083 0.917 In
0.250 0.192 0.808 Li
0.750 0.808 0.192 Li
```

***

Record 17
Below is crystalline LiTl2InO5 at its relaxed geometry, with properties calculated at the PBE level.

The structure in POSCAR format:
```
LiTl2InO5
1.0
3.365 0.000 0.000
-1.683 6.776 0.000
0.000 0.000 11.265
Tl Li O In
4 2 10 2
Direct
0.857 0.714 0.736 Tl
0.143 0.286 0.236 Tl
0.918 0.836 0.183 Tl
0.082 0.164 0.683 Tl
0.536 0.072 0.974 Li
0.464 0.928 0.474 Li
0.900 0.799 0.548 O
0.247 0.493 0.655 O
0.503 0.006 0.289 O
0.408 0.816 0.052 O
0.100 0.201 0.048 O
0.760 0.521 0.885 O
0.592 0.184 0.552 O
0.240 0.479 0.385 O
0.753 0.507 0.155 O
0.497 0.994 0.789 O
0.745 0.489 0.503 In
0.255 0.511 0.003 In
```

***

Record 18
Below is crystalline Li3TlIn2O6 at its relaxed geometry, with properties calculated at the PBE level.

The structure in POSCAR format:
```
Li3TlIn2O6
1.0
5.642 -0.006 0.005
-2.825 4.885 0.005
-0.936 -1.620 5.094
Li In O Tl
3 2 6 1
Direct
0.172 0.828 0.500 Li
0.828 0.172 0.500 Li
0.500 0.500 0.500 Li
0.666 0.334 0.000 In
0.334 0.666 0.000 In
0.265 0.265 0.756 O
0.574 0.920 0.757 O
0.920 0.574 0.757 O
0.426 0.080 0.243 O
0.735 0.735 0.244 O
0.080 0.426 0.243 O
0.000 0.000 0.000 Tl
```

***

no.,raw formation energy (eV per atom)
1,-1.44
2,-1.24
3,-2.54
4,-2.79
5,-2.58
6,-1.72
7,-1.60
8,-1.77
9,-1.16
10,-2.06
11,-1.42
12,-1.24
13,-1.41
14,-0.99
15,-1.35
16,-1.28
17,-1.01
18,-1.51